#w
# TaMoCl2

TaMoCl2 after structural relaxation (PBE, Alexandria).

Cell: 3.4792 4.3504 4.5795 Å, 90.00 90.10 90.00°
Last column: nearest neighbours and their distance in Å.
Element x y z (fractional)
Ta 0.0000 0.0000 0.0000  4 Cl 2.61, 4 Mo 2.87-2.88
Mo 0.5000 0.0000 0.5000  4 Cl 2.61, 4 Ta 2.87-2.88
Cl 0.2482 0.5000 0.2519  2 Mo 2.61, 2 Ta 2.61, 4 Cl 2.86-2.90
Cl 0.7518 0.5000 0.7481  2 Mo 2.61, 2 Ta 2.61, 4 Cl 2.86-2.90

## Properties
Spin magnetization: 0.00 μB per cell
Density: 8.33 g/cm3

#x
# TaMoCl2

TaMoCl2 after structural relaxation (PBE, Alexandria).

Cell: 10.1384 10.1384 10.1384 Å, 17.27 17.27 17.27°
Last column: nearest neighbours and their distance in Å.
Element x y z (fractional)
Ta 0.0000 0.0000 0.0000  3 Cl 2.52
Mo 0.7497 0.7497 0.7497  3 Cl 2.45
Cl 0.2732 0.2732 0.2732  3 Ta 2.52
Cl 0.4736 0.4736 0.4736  3 Mo 2.45

## Properties
Spin magnetization: 0.00 μB per cell
Density: 7.21 g/cm3

Energy ordering: #x at the bottom, the next structure 790 meV/atom above.

#w
# TaMoCl2

TaMoCl2 after structural relaxation (PBE, Alexandria).

Cell: 7.2781 7.2781 4.4330 Å, 96.04 96.04 24.68°
Last column: nearest neighbours and their distance in Å.
Element x y z (fractional)
Ta 0.0000 0.0000 0.0000  4 Cl 2.60, 4 Mo 2.71
Mo 0.5000 0.5000 0.5000  2 Cl 2.47, 4 Ta 2.71
Cl 0.3617 0.3617 0.7920  1 Mo 2.47, 2 Ta 2.60
Cl 0.6383 0.6383 0.2080  1 Mo 2.47, 2 Ta 2.60

## Properties
Spin magnetization: 0.54 μB per cell
Density: 5.93 g/cm3

#x
# TaMoCl2

TaMoCl2 after structural relaxation (PBE, Alexandria).

Cell: 3.0900 3.0900 9.6134 Å, 90.00 90.00 114.20°
Last column: nearest neighbours and their distance in Å.
Element x y z (fractional)
Ta 0.0000 0.0000 0.0000  2 Cl 2.59, 2 Mo 2.61
Mo 0.5000 0.5000 0.2084  2 Cl 2.57, 2 Ta 2.61
Cl 0.0000 0.0000 0.4116  2 Mo 2.57
Cl 0.5000 0.5000 0.7947  2 Ta 2.59

## Properties
Spin magnetization: 0.00 μB per cell
Density: 6.90 g/cm3

#y
# TaMoCl2

TaMoCl2 after structural relaxation (PBE, Alexandria).

Cell: 2.8409 4.4412 5.5447 Å, 90.00 90.00 90.00°
Last column: nearest neighbours and their distance in Å.
Element x y z (fractional)
Ta 0.0000 0.0000 0.0000  4 Cl 2.64, 2 Ta 2.84
Mo 0.5000 0.0000 0.5000  4 Cl 2.64, 2 Mo 2.84
Cl 0.0000 0.5000 0.5000  4 Mo 2.64, 2 Cl 2.84
Cl 0.5000 0.5000 0.0000  4 Ta 2.64, 2 Cl 2.84

## Properties
Spin magnetization: 0.76 μB per cell
Density: 8.26 g/cm3

#z
# TaMoCl2

TaMoCl2 after structural relaxation (PBE, Alexandria).

Cell: 5.1438 5.1438 5.1438 Å, 134.94 134.94 65.63°
Last column: nearest neighbours and their distance in Å.
Element x y z (fractional)
Ta 0.0000 0.0000 0.0000  8 Cl 2.79-2.93, 4 Mo 2.93
Mo 0.7500 0.2500 0.5000  8 Cl 2.79-2.93, 4 Ta 2.93
Cl 0.2500 0.7500 0.5000  4 Mo 2.79, 4 Ta 2.93, 4 Cl 2.93
Cl 0.5000 0.5000 0.0000  4 Ta 2.79, 4 Mo 2.93, 4 Cl 2.93

## Properties
Spin magnetization: 0.00 μB per cell
Density: 8.60 g/cm3

Energy ordering: #x at the bottom, the next structure 58 meV/atom above.

#w
# Ta2MoCl2

Ta2MoCl2 after structural relaxation (PBE, Alexandria).

Cell: 7.7036 7.7036 2.8235 Å, 90.00 90.00 90.00°
Last column: nearest neighbours and their distance in Å.
Element x y z (fractional)
Ta 0.1910 0.3090 0.0000  2 Cl 2.47
Ta 0.3090 0.8090 0.0000  2 Cl 2.47
Ta 0.6910 0.1910 0.0000  2 Cl 2.47
Ta 0.8090 0.6910 0.0000  2 Cl 2.47
Mo 0.0000 0.0000 0.5000  2 Mo 2.82, 4 Cl 3.06, 8 Ta 3.13
Mo 0.5000 0.5000 0.5000  2 Mo 2.82, 4 Cl 3.06, 8 Ta 3.13
Cl 0.1228 0.6228 0.5000  2 Ta 2.47, 1 Cl 2.68
Cl 0.3772 0.1228 0.5000  2 Ta 2.47, 1 Cl 2.68
Cl 0.6228 0.8772 0.5000  2 Ta 2.47, 1 Cl 2.68
Cl 0.8772 0.3772 0.5000  2 Ta 2.47, 1 Cl 2.68

## Properties
Spin magnetization: 0.00 μB per cell
Density: 10.48 g/cm3

#x
# Ta2MoCl2

Ta2MoCl2 after structural relaxation (PBE, Alexandria).

Cell: 5.6690 5.6690 5.6690 Å, 134.54 134.54 66.24°
Last column: nearest neighbours and their distance in Å.
Element x y z (fractional)
Ta 0.2500 0.7500 0.5000  4 Cl 2.44
Ta 0.7500 0.2500 0.5000  4 Cl 2.44
Mo 0.0000 0.0000 0.0000  8 Ta 3.23, 10 Cl 3.36-3.44
Cl 0.3621 0.3621 0.0000  4 Ta 2.44, 1 Cl 2.62
Cl 0.6379 0.6379 0.0000  4 Ta 2.44, 1 Cl 2.62

## Properties
Spin magnetization: 1.45 μB per cell
Density: 9.64 g/cm3

Energy ordering: #w at the bottom, the next structure 179 meV/atom above.

#w
# TaMoCl

TaMoCl after structural relaxation (PBE, Alexandria).

Cell: 6.2563 6.2563 6.2563 Å, 151.71 151.71 40.43°
Last column: nearest neighbours and their distance in Å.
Element x y z (fractional)
Ta 0.0000 0.0000 0.0000  4 Mo 2.70, 4 Cl 2.98
Mo 0.6378 0.6378 0.0000  4 Ta 2.70
Cl 0.3250 0.3250 0.0000  4 Ta 2.98, 4 Cl 3.06, 4 Mo 3.08

## Properties
Spin magnetization: 0.00 μB per cell
Density: 9.45 g/cm3

#x
# TaMoCl

TaMoCl after structural relaxation (PBE, Alexandria).

Cell: 4.9702 4.9702 4.9702 Å, 147.01 129.08 62.01°
Last column: nearest neighbours and their distance in Å.
Element x y z (fractional)
Ta 0.0000 0.0000 0.0000  1 Cl 2.58, 2 Ta 2.82, 1 Mo 2.83
Mo 0.3327 0.3327 0.0000  5 Cl 2.81-3.11, 2 Mo 2.82, 5 Ta 2.83-2.93
Cl 0.6973 0.6973 0.0000  1 Ta 2.58, 4 Mo 2.81, 2 Cl 2.82

## Properties
Spin magnetization: 0.00 μB per cell
Density: 10.10 g/cm3

#y
# TaMoCl

TaMoCl after structural relaxation (PBE, Alexandria).

Cell: 4.3850 4.3850 4.3850 Å, 60.00 60.00 60.00°
Last column: nearest neighbours and their distance in Å.
Element x y z (fractional)
Ta 0.0000 0.0000 0.0000  4 Cl 2.69, 4 Mo 2.69
Mo 0.7500 0.7500 0.7500  4 Ta 2.69
Cl 0.2500 0.2500 0.2500  4 Ta 2.69

## Properties
Spin magnetization: 0.00 μB per cell
Density: 8.70 g/cm3

Energy ordering: #w at the bottom, the next structure 246 meV/atom above.

#w
# TcMoCl

TcMoCl after structural relaxation (PBE, Alexandria).

Cell: 4.1913 4.1913 2.9387 Å, 90.00 90.00 120.00°
Last column: nearest neighbours and their distance in Å.
Element x y z (fractional)
Tc 0.0000 0.0000 0.0000  3 Cl 2.53, 3 Mo 2.78
Mo 0.6667 0.3333 0.4652  3 Cl 2.50, 3 Tc 2.78
Cl 0.3333 0.6667 0.2563  3 Mo 2.50, 3 Tc 2.53

## Properties
Spin magnetization: 0.00 μB per cell
Density: 8.52 g/cm3

#x
# TcMoCl

TcMoCl after structural relaxation (PBE, Alexandria).

Cell: 6.9436 6.6172 3.0389 Å, 83.13 71.11 25.75°
Last column: nearest neighbours and their distance in Å.
Element x y z (fractional)
Tc 0.0000 0.0000 0.0000  2 Mo 2.39
Mo 0.3588 0.3588 0.6412  2 Tc 2.39
Cl 0.6893 0.6893 0.3107  2 Mo 2.68, 2 Tc 2.89

## Properties
Spin magnetization: 0.00 μB per cell
Density: 7.31 g/cm3

Energy ordering: #x at the bottom, the next structure 100 meV/atom above.

#w
# TcMoCl

TcMoCl after structural relaxation (PBE, Alexandria).

Cell: 4.5841 4.5841 4.5841 Å, 142.72 126.97 66.60°
Last column: nearest neighbours and their distance in Å.
Element x y z (fractional)
Tc 0.0000 0.0000 0.0000  5 Cl 2.55-2.83, 5 Mo 2.58-2.81
Mo 0.3370 0.3370 0.0000  5 Cl 2.53-2.83, 5 Tc 2.58-2.81
Cl 0.6676 0.6676 0.0000  5 Mo 2.53-2.83, 5 Tc 2.55-2.83

## Properties
Spin magnetization: 0.00 μB per cell
Density: 8.29 g/cm3

#x
# TcMoCl

TcMoCl after structural relaxation (PBE, Alexandria).

Cell: 5.8133 5.8133 5.8133 Å, 150.31 150.31 42.49°
Last column: nearest neighbours and their distance in Å.
Element x y z (fractional)
Tc 0.0000 0.0000 0.0000  4 Mo 2.59
Mo 0.6396 0.6396 0.0000  4 Tc 2.59, 4 Cl 2.82
Cl 0.3128 0.3128 0.0000  4 Mo 2.82, 4 Tc 2.92, 4 Cl 2.98

## Properties
Spin magnetization: 0.00 μB per cell
Density: 7.92 g/cm3

#y
# TcMoCl

TcMoCl after structural relaxation (PBE, Alexandria).

Cell: 2.9605 2.9605 6.2905 Å, 90.00 90.00 120.00°
Last column: nearest neighbours and their distance in Å.
Element x y z (fractional)
Tc 0.0000 0.0000 0.0000  3 Mo 2.59, 3 Cl 2.89
Mo 0.6667 0.3333 0.6904  3 Tc 2.59, 3 Cl 2.64
Cl 0.3333 0.6667 0.3698  3 Mo 2.64, 3 Tc 2.89, 6 Cl 2.96

## Properties
Spin magnetization: 0.00 μB per cell
Density: 7.98 g/cm3

#z
# TcMoCl

TcMoCl after structural relaxation (PBE, Alexandria).

Cell: 4.2156 4.2156 4.2156 Å, 60.00 60.00 60.00°
Last column: nearest neighbours and their distance in Å.
Element x y z (fractional)
Tc 0.0000 0.0000 0.0000  4 Mo 2.58
Mo 0.7500 0.7500 0.7500  4 Cl 2.58, 4 Tc 2.58
Cl 0.5000 0.5000 0.5000  4 Mo 2.58

## Properties
Spin magnetization: 0.31 μB per cell
Density: 7.19 g/cm3

Energy ordering: #y at the bottom, the next structure 63 meV/atom above.

#w
# TcMoCl2

TcMoCl2 after structural relaxation (PBE, Alexandria).

Cell: 5.1454 5.1454 3.4478 Å, 109.50 109.50 113.25°
Last column: nearest neighbours and their distance in Å.
Element x y z (fractional)
Tc 0.0000 0.0000 0.0000  4 Cl 2.57, 4 Mo 2.83-2.84
Mo 0.5000 0.5000 0.0000  4 Cl 2.57, 4 Tc 2.83-2.84
Cl 0.0000 0.5000 0.0000  2 Mo 2.57, 2 Tc 2.57, 4 Cl 2.83-2.84
Cl 0.5000 0.0000 0.0000  2 Mo 2.57, 2 Tc 2.57, 4 Cl 2.83-2.84

## Properties
Spin magnetization: 0.21 μB per cell
Density: 6.60 g/cm3

#x
# TcMoCl2

TcMoCl2 after structural relaxation (PBE, Alexandria).

Cell: 9.7761 9.7761 9.7761 Å, 17.70 17.70 17.70°
Last column: nearest neighbours and their distance in Å.
Element x y z (fractional)
Tc 0.0000 0.0000 0.0000  3 Cl 2.51, 3 Mo 2.76
Mo 0.7408 0.7408 0.7408  3 Cl 2.52, 3 Tc 2.76
Cl 0.2707 0.2707 0.2707  3 Tc 2.51
Cl 0.4706 0.4706 0.4706  3 Mo 2.52

## Properties
Spin magnetization: 0.00 μB per cell
Density: 5.84 g/cm3

Energy ordering: #x at the bottom, the next structure 761 meV/atom above.

#w
# TcMoCl2

TcMoCl2 after structural relaxation (PBE, Alexandria).

Cell: 6.0276 6.0276 5.4815 Å, 98.88 98.88 31.33°
Last column: nearest neighbours and their distance in Å.
Element x y z (fractional)
Tc 0.0000 0.0000 0.0000  2 Mo 2.28, 1 Cl 2.44
Mo 0.3956 0.3956 0.1581  2 Tc 2.28
Cl 0.7099 0.7099 0.0424  2 Mo 2.69, 2 Tc 2.91
Cl 0.9588 0.9588 0.5491  1 Tc 2.44, 2 Mo 2.70

## Properties
Spin magnetization: 0.00 μB per cell
Density: 4.30 g/cm3

#x
# TcMoCl2

TcMoCl2 after structural relaxation (PBE, Alexandria).

Cell: 6.5108 6.5108 6.5108 Å, 131.42 131.42 71.15°
Last column: nearest neighbours and their distance in Å.
Element x y z (fractional)
Tc 0.0000 0.0000 0.0000  4 Cl 2.30
Tc 0.7500 0.2500 0.5000  4 Cl 2.30
Mo 0.2500 0.7500 0.5000  4 Cl 2.32
Mo 0.5000 0.5000 0.0000  4 Cl 2.32
Cl 0.1222 0.6250 0.9972  2 Tc 2.30, 2 Mo 2.32
Cl 0.3750 0.3722 0.4972  2 Tc 2.30, 2 Mo 2.32
Cl 0.6278 0.1250 0.0028  2 Tc 2.30, 2 Mo 2.32
Cl 0.8750 0.8778 0.5028  2 Tc 2.30, 2 Mo 2.32

## Properties
Spin magnetization: 0.00 μB per cell
Density: 5.79 g/cm3

Energy ordering: #w at the bottom, the next structure 743 meV/atom above.